Here is crystalline Tl2Cd2Se3 at its relaxed geometry from Alexandria via LeMat-Bulk. Energies are from PBE.

POSCAR file:
```
Tl2Cd2Se3
1.0
7.0551 0.0389 2.6384
3.4645 10.8040 1.2365
-0.2802 -0.0294 11.4096
Tl Cd Se
8 8 12
Direct
0.9152 0.0085 0.1863
0.4152 0.1863 0.0085
0.7500 0.2897 0.7103
0.7500 0.5694 0.4306
0.2500 0.4306 0.5694
0.2500 0.7103 0.2897
0.5848 0.8137 0.9915
0.0848 0.9915 0.8137
0.6330 0.3563 0.2024
0.6189 0.0867 0.5391
0.1330 0.2024 0.3563
0.1189 0.5391 0.0867
0.8811 0.4609 0.9133
0.8670 0.7976 0.6437
0.3811 0.9133 0.4609
0.3670 0.6437 0.7976
0.7347 0.2737 0.4101
0.7237 0.5728 0.1460
0.2347 0.4101 0.2737
0.2237 0.1460 0.5728
0.8187 0.2416 0.9804
0.1813 0.7584 0.0196
0.7763 0.8540 0.4272
0.7653 0.5899 0.7263
0.3187 0.9804 0.2416
0.2763 0.4272 0.8540
0.2653 0.7263 0.5899
0.6813 0.0196 0.7584
```

Calculated values
E_form (uncorrected) = -490 meV/atom
Relative energy among the computed polymorphs = 0.0 meV/atom
Symmetry = C2/c (15)

Here is crystalline Ca2PrSe3 at its relaxed geometry from Alexandria via LeMat-Bulk. Energies are from PBE.

POSCAR file:
```
Ca2PrSe3
1.0
4.2039 0.0000 0.0000
0.0000 5.9956 0.0000
-2.1020 -2.9978 6.3659
Ca Pr Se
2 1 3
Direct
0.8330 0.8330 0.1659
0.1670 0.1670 0.8341
0.5000 0.5000 0.5000
0.8293 0.3293 0.1586
0.1707 0.6707 0.8414
0.5000 0.0000 0.5000
```

Calculated values
E_form (uncorrected) = -1933 meV/atom
Fermi-level density of states = 1.93 states/eV/f.u.
Symmetry = Immm (71)

Here is crystalline K2ZrScCl at its relaxed geometry from Alexandria via LeMat-Bulk. Energies are from PBE.

POSCAR file:
```
K2ZrScCl
1.0
6.9531 0.0000 0.0000
0.0000 5.0891 0.0000
0.0000 0.0000 6.9531
Sc K Zr Cl
1 2 1 1
Direct
0.0000 0.5000 0.0000
0.0000 0.0000 0.5000
0.5000 0.0000 0.0000
0.0000 0.0000 0.0000
0.5000 0.5000 0.5000
```

Calculated values
E_form (uncorrected) = 702 meV/atom
Fermi-level density of states = 6.53 states/eV/f.u.
Symmetry = P4/mmm (123)

Here is crystalline Ho2BPt5 at its relaxed geometry from Alexandria via LeMat-Bulk. Energies are from PBE.

POSCAR file:
```
Ho2BPt5
1.0
5.7685 0.0018 -0.0006
-0.0013 5.7774 0.2391
-2.8843 -2.7089 4.2831
Ho B Pt
2 1 5
Direct
0.2614 0.7746 0.5228
0.7612 0.2449 0.5224
0.9769 0.9906 0.9540
0.7592 0.2728 0.0310
0.2717 0.2729 0.0310
0.7510 0.7508 0.0100
0.2591 0.7509 0.0100
0.7365 0.7195 0.4728
```

Calculated values
Formation energy = -7.9 eV/f.u.
Fermi-level density of states = 2.23 states/eV/f.u.
Symmetry = Cm (8)

In the order shown, the computed electronic total energy values come out to -2.921, -5.139, -3.082, -6.742 eV/atom.